(1)
This record from Alexandria describes crystalline Cs8BiAu2 at its relaxed geometry. The functional is GGA-PBE.

Results
VASP energy (eV per cell): -38.81
Energy relative to the elements (eV/atom): -0.195

Lattice parameters (Å, degrees): 11.6317 16.7041 7.0617 90.00 103.93 90.00
Space group C2/m (No. 12)
Symmetry-distinct sites (fractional):
1 Cs 0.0000 0.2364 0.0000 x4
2 Cs 0.1425 0.5000 0.8055 x4
3 Cs 0.1846 0.1283 0.5821 x8
4 Bi 0.0000 0.0000 0.0000 x2
5 Au 0.0000 0.3151 0.5000 x4



(2)
This record from Alexandria describes crystalline SrLa2ZnN at its relaxed geometry. The functional is GGA-PBE.

Results
VASP energy (eV per cell): -23.81
Raw formation energy (meV per atom): -534

Lattice parameters (Å, degrees): 5.0521 5.0521 5.3048 90.00 90.00 90.00
Space group P4/mmm (No. 123)
Symmetry-distinct sites (fractional):
1 Sr 0.0000 0.0000 0.0000 x1
2 La 0.0000 0.5000 0.5000 x2
3 Zn 0.5000 0.5000 0.0000 x1
4 N 0.0000 0.0000 0.5000 x1